(1)
ReSi2P: optimized geometry, PBE.

Geometry as POSCAR:
```
ReSi2P
1.0
4.022 0.000 0.000
0.000 3.208 0.024
0.000 1.592 4.422
Si P Re
2 1 1
Direct
0.000 0.965 0.943
0.500 0.274 0.330
0.000 0.709 0.457
0.500 0.552 0.771
```

Values from the calculation:
Formation energy (no corrections) ... 0.01 eV/atom
Symmetry ... Pm (6)

***

(2)
ReSi2P: optimized geometry, PBE.

Geometry as POSCAR:
```
ReSi2P
1.0
4.164 -0.009 0.000
-1.077 4.022 0.000
-1.543 -2.007 3.306
Re P Si
1 1 2
Direct
0.750 0.250 0.500
0.500 0.500 0.000
0.250 0.750 0.500
0.000 0.000 0.000
```

Values from the calculation:
Formation energy (no corrections) ... 0.33 eV/atom
Symmetry ... I-4m2 (119)

***

Question: The lowest formation energy (no corrections) belongs to which entry?
Answer: number 1

***

Question: What is the formation energy (no corrections) in the first record?
Answer: 0.01 eV/atom

***

Question: Look up the formation energy (no corrections) of the first one.
Answer: 0.01 eV/atom